[1]
TlNi after structural relaxation. Source: Alexandria, functional PBE.

## Properties
Its total energy is -3.806 eV/atom. The calculated density comes out at 11.60 g/cm³.

Unit cell a=3.092 b=11.503 c=6.351 alpha=90.00 beta=90.00 gamma=90.00
Element x y z (fractional)
Tl 0.000 0.269 0.781
Tl 0.000 0.731 0.781
Tl 0.000 0.769 0.281
Tl 0.000 0.231 0.281
Tl 0.500 0.000 0.961
Tl 0.500 0.500 0.461
Ni 0.500 0.892 0.573
Ni 0.500 0.108 0.573
Ni 0.500 0.392 0.073
Ni 0.500 0.608 0.073
Ni 0.000 0.000 0.333
Ni 0.000 0.500 0.833

=====

[2]
TlNi after structural relaxation. Source: Alexandria, functional PBE.

## Properties
Its total energy is -3.739 eV/atom. The calculated density comes out at 11.76 g/cm³.

Unit cell a=6.141 b=6.141 c=6.141 alpha=149.84 beta=140.08 gamma=50.83
Element x y z (fractional)
Ni 0.415 0.665 0.250
Ni 0.585 0.335 0.750
Tl 0.862 0.112 0.250
Tl 0.138 0.888 0.750

=====

[3]
TlNi after structural relaxation. Source: Alexandria, functional PBE.

## Properties
Its total energy is -3.788 eV/atom. The calculated density comes out at 11.93 g/cm³.

Unit cell a=8.116 b=8.116 c=4.445 alpha=90.00 beta=90.00 gamma=90.00
Element x y z (fractional)
Tl 0.777 0.500 0.000
Tl 0.223 0.500 0.000
Tl 0.500 0.223 0.000
Tl 0.500 0.777 0.000
Tl 0.277 0.000 0.500
Tl 0.723 0.000 0.500
Tl 0.000 0.723 0.500
Tl 0.000 0.277 0.500
Ni 0.163 0.163 0.000
Ni 0.163 0.837 0.000
Ni 0.837 0.163 0.000
Ni 0.837 0.837 0.000
Ni 0.663 0.663 0.500
Ni 0.663 0.337 0.500
Ni 0.337 0.663 0.500
Ni 0.337 0.337 0.500

=====

[4]
TlNi after structural relaxation. Source: Alexandria, functional PBE.

## Properties
Its total energy is -3.756 eV/atom. The calculated density comes out at 12.14 g/cm³.

Unit cell a=5.206 b=5.206 c=7.200 alpha=64.74 beta=64.74 gamma=38.32
Element x y z (fractional)
Tl 0.628 0.628 0.683
Tl 0.008 0.008 0.405
Tl 0.796 0.796 0.036
Ni 0.075 0.075 0.012
Ni 0.324 0.324 0.319
Ni 0.336 0.336 0.712

=====

[5]
Tl4Ni after structural relaxation. Source: Alexandria, functional PBE.

## Properties
As for the energy above the most stable polymorph in this dataset: 1.92 kcal/mol of atoms. Its total energy is -2.857 eV/atom. The calculated density comes out at 10.64 g/cm³.

Unit cell a=5.621 b=5.621 c=5.621 alpha=109.47 beta=109.47 gamma=109.47
Element x y z (fractional)
Tl 0.500 0.000 0.000
Tl 0.500 0.500 0.500
Tl 0.000 0.500 0.000
Tl 0.000 0.000 0.500
Ni 0.000 0.000 0.000

=====

[6]
TlNi after structural relaxation. Source: Alexandria, functional PBE.

## Properties
Its total energy is -3.743 eV/atom. The calculated density comes out at 11.31 g/cm³.

Unit cell a=16.699 b=3.927 c=3.533 alpha=90.00 beta=90.00 gamma=90.00
Element x y z (fractional)
Tl 0.841 0.000 0.500
Tl 0.159 0.000 0.500
Tl 0.341 0.500 0.500
Tl 0.659 0.500 0.500
Tl 0.500 0.000 0.000
Tl 0.000 0.500 0.000
Ni 0.709 0.000 0.000
Ni 0.291 0.000 0.000
Ni 0.209 0.500 0.000
Ni 0.791 0.500 0.000
Ni 0.000 0.000 0.500
Ni 0.500 0.500 0.500

=====

[7]
Tl6Ni7 after structural relaxation. Source: Alexandria, functional PBE.

## Properties
Its total energy is -3.932 eV/atom. The calculated density comes out at 11.54 g/cm³.

Unit cell a=10.023 b=10.023 c=10.023 alpha=30.90 beta=30.90 gamma=30.90
Element x y z (fractional)
Ni 0.898 0.432 0.432
Ni 0.432 0.432 0.898
Ni 0.432 0.898 0.432
Ni 0.102 0.568 0.568
Ni 0.568 0.102 0.568
Ni 0.568 0.568 0.102
Ni 0.500 0.500 0.500
Tl 0.928 0.928 0.928
Tl 0.072 0.072 0.072
Tl 0.819 0.819 0.819
Tl 0.181 0.181 0.181
Tl 0.670 0.670 0.670
Tl 0.330 0.330 0.330

=====

[8]
Tl5Ni4 after structural relaxation. Source: Alexandria, functional PBE.

## Properties
As for the energy above the most stable polymorph in this dataset: 2.56 kcal/mol of atoms. Its total energy is -3.385 eV/atom. The calculated density comes out at 11.21 g/cm³.

Unit cell a=6.899 b=6.899 c=6.899 alpha=95.68 beta=95.68 gamma=143.33
Site moments in Bohr magnetons follow the coordinates.
Element x y z (fractional)
Tl 0.000 0.000 0.000  -0.01
Tl 0.675 0.325 0.000  -0.01
Tl 0.325 0.675 0.000  -0.01
Tl 0.325 0.325 0.649  -0.01
Tl 0.675 0.675 0.351  -0.01
Ni 0.624 0.000 0.624  0.38
Ni 0.376 0.000 0.376  0.38
Ni 0.000 0.376 0.376  0.38
Ni 0.000 0.624 0.624  0.38

=====

no.,ΔE_f (eV per atom)
1,0.268
2,0.335
3,0.285
4,0.317
5,0.193
6,0.331
7,0.273
8,0.499